Entry 1:
A plane-wave DFT calculation with PBE-GGA was carried out for a relaxed structure of Pm2Nd3Tm6Pu.

Cell lengths 6.173, 6.173, 11.650 Å; angles 95.07, 95.07, 120.01 degrees
Sites, in units of the cell vectors:
Pm: 0.167 0.833 0.000
Pm: 0.833 0.167 0.000
Nd: 0.000 0.000 0.500
Nd: 0.333 0.667 0.500
Nd: 0.667 0.333 0.500
Tm: 0.089 0.418 0.753
Tm: 0.253 0.253 0.247
Tm: 0.418 0.089 0.753
Tm: 0.582 0.911 0.247
Tm: 0.747 0.747 0.753
Tm: 0.911 0.582 0.247
Pu: 0.500 0.500 0.000

Values from the calculation:
- Total DFT energy (no corrections): -5.3707 eV/atom
- Energy of formation from the pure elements: 0.04 eV per atom
- DOS(E_F): 21.8 states/eV/f.u.


Entry 2:
A plane-wave DFT calculation with PBE-GGA was carried out for a relaxed structure of Na3Cu2O4.

Cell lengths 5.723, 11.176, 8.360 Å; angles 90.00, 111.87, 90.00 degrees
Sites, in units of the cell vectors:
Na: 0.107 0.211 0.384
Na: 0.107 0.289 0.884
Na: 0.112 0.577 0.882
Na: 0.112 0.923 0.382
Na: 0.146 0.593 0.445
Na: 0.146 0.907 0.945
Na: 0.854 0.093 0.055
Na: 0.854 0.407 0.555
Na: 0.888 0.077 0.618
Na: 0.888 0.423 0.118
Na: 0.893 0.711 0.116
Na: 0.893 0.789 0.616
Cu: 0.470 0.070 0.734
Cu: 0.470 0.430 0.234
Cu: 0.499 0.678 0.257
Cu: 0.499 0.822 0.757
Cu: 0.501 0.178 0.243
Cu: 0.501 0.322 0.743
Cu: 0.530 0.570 0.766
Cu: 0.530 0.930 0.266
O: 0.238 0.560 0.191
O: 0.238 0.940 0.691
O: 0.243 0.202 0.680
O: 0.243 0.298 0.180
O: 0.275 0.049 0.205
O: 0.275 0.451 0.705
O: 0.278 0.691 0.714
O: 0.278 0.809 0.214
O: 0.722 0.191 0.786
O: 0.722 0.309 0.286
O: 0.725 0.549 0.295
O: 0.725 0.951 0.795
O: 0.757 0.702 0.820
O: 0.757 0.798 0.320
O: 0.762 0.060 0.309
O: 0.762 0.440 0.809

Values from the calculation:
- Energy relative to the lowest polymorph listed for this composition: 0.00 kcal/mol of atoms
- Total DFT energy (no corrections): -4.6238 eV/atom
- DOS(E_F): 3.2 states/eV/f.u.
- E_form (uncorrected): -1070 meV per atom


Entry 3:
A plane-wave DFT calculation with PBE-GGA was carried out for a relaxed structure of YTa2Os.

Cell lengths 6.639, 6.639, 6.639 Å; angles 90.00, 90.00, 90.00 degrees
Sites, in units of the cell vectors:
Y: 0.000 0.000 0.000
Y: 0.000 0.500 0.500
Y: 0.500 0.000 0.500
Y: 0.500 0.500 0.000
Ta: 0.250 0.250 0.250
Ta: 0.250 0.250 0.750
Ta: 0.250 0.750 0.250
Ta: 0.250 0.750 0.750
Ta: 0.750 0.250 0.250
Ta: 0.750 0.250 0.750
Ta: 0.750 0.750 0.250
Ta: 0.750 0.750 0.750
Os: 0.000 0.000 0.500
Os: 0.000 0.500 0.000
Os: 0.500 0.000 0.000
Os: 0.500 0.500 0.500

Values from the calculation:
- Energy relative to the lowest polymorph listed for this composition: 4.24 kcal/mol of atoms
- Total DFT energy (no corrections): -10.1643 eV/atom
- Energy of formation from the pure elements: 0.19 eV per atom
- DOS(E_F): 4.0 states/eV/f.u.


Entry 4:
A plane-wave DFT calculation with PBE-GGA was carried out for a relaxed structure of Al2PtBr.

Cell lengths 3.713, 3.713, 12.079 Å; angles 90.00, 90.00, 90.00 degrees
Sites, in units of the cell vectors:
Al: 0.000 0.000 0.000
Al: 0.000 0.500 0.250
Al: 0.500 0.000 0.750
Al: 0.500 0.500 0.500
Pt: 0.000 0.000 0.500
Pt: 0.500 0.500 0.000
Br: 0.000 0.500 0.750
Br: 0.500 0.000 0.250

Values from the calculation:
- Energy relative to the lowest polymorph listed for this composition: 15.63 kcal/mol of atoms
- Total DFT energy (no corrections): -3.7444 eV/atom
- DOS(E_F): 1.6 states/eV/f.u.
- E_form (uncorrected): 55 meV per atom


Entry 5:
A plane-wave DFT calculation with PBE-GGA was carried out for a relaxed structure of Pr2NdSmBi4.

Cell lengths 7.988, 4.615, 7.989 Å; angles 90.00, 109.48, 90.00 degrees
Sites, in units of the cell vectors:
Pr: 0.000 0.000 0.000
Pr: 0.000 0.500 0.500
Nd: 0.500 0.000 0.500
Sm: 0.500 0.500 0.000
Bi: 0.253 0.500 0.250
Bi: 0.254 0.000 0.753
Bi: 0.746 0.000 0.247
Bi: 0.747 0.500 0.750

Values from the calculation:
- Total DFT energy (no corrections): -5.2696 eV/atom
- Energy of formation from the pure elements: -0.95 eV per atom
- DOS(E_F): 1.2 states/eV/f.u.


Entry 6:
A plane-wave DFT calculation with PBE-GGA was carried out for a relaxed structure of In2Sn3Pb4.

Cell lengths 8.030, 8.030, 9.593 Å; angles 95.67, 95.67, 114.65 degrees
Sites, in units of the cell vectors:
In: 0.076 0.873 0.582
In: 0.127 0.924 0.918
In: 0.873 0.076 0.082
In: 0.924 0.127 0.418
Sn: 0.045 0.300 0.826
Sn: 0.300 0.045 0.326
Sn: 0.305 0.695 0.750
Sn: 0.695 0.305 0.250
Sn: 0.700 0.955 0.674
Sn: 0.955 0.700 0.174
Pb: 0.197 0.570 0.393
Pb: 0.320 0.351 0.112
Pb: 0.351 0.320 0.612
Pb: 0.430 0.803 0.107
Pb: 0.570 0.197 0.893
Pb: 0.649 0.680 0.388
Pb: 0.680 0.649 0.888
Pb: 0.803 0.430 0.607

Values from the calculation:
- Total DFT energy (no corrections): -3.4951 eV/atom
- Energy of formation from the pure elements: 0.10 eV per atom
- DOS(E_F): 4.9 states/eV/f.u.


Entry 7:
A plane-wave DFT calculation with PBE-GGA was carried out for a relaxed structure of ScFe2Ag.

Cell lengths 5.403, 8.854, 2.794 Å; angles 90.00, 111.77, 90.00 degrees
Sites, in units of the cell vectors:
Sc: 0.000 0.000 0.000
Sc: 0.500 0.500 0.000
Fe: 0.250 0.250 0.500
Fe: 0.250 0.750 0.500
Fe: 0.750 0.250 0.500
Fe: 0.750 0.750 0.500
Ag: 0.000 0.500 0.000
Ag: 0.500 0.000 0.000

Values from the calculation:
- Total DFT energy (no corrections): -6.2589 eV/atom
- Energy of formation from the pure elements: 0.27 eV per atom
- DOS(E_F): 4.4 states/eV/f.u.


Entry 8:
A plane-wave DFT calculation with PBE-GGA was carried out for a relaxed structure of ZrCdOs3.

Cell lengths 4.863, 4.863, 4.863 Å; angles 90.00, 90.00, 90.00 degrees
Sites, in units of the cell vectors:
Zr: 0.000 0.000 0.000
Cd: 0.500 0.500 0.500
Os: 0.000 0.000 0.500
Os: 0.000 0.500 0.000
Os: 0.500 0.000 0.000

Values from the calculation:
- Energy relative to the lowest polymorph listed for this composition: 0.00 kcal/mol of atoms
- Total DFT energy (no corrections): -6.3642 eV/atom
- Energy of formation from the pure elements: 2.27 eV per atom
- DOS(E_F): 7.4 states/eV/f.u.


Entry 9:
A plane-wave DFT calculation with PBE-GGA was carried out for a relaxed structure of Ce2MgB2Ru5.

Cell lengths 9.716, 9.716, 3.155 Å; angles 90.00, 90.00, 90.00 degrees
Sites, in units of the cell vectors:
Ce: 0.177 0.323 0.000
Ce: 0.323 0.823 0.000
Ce: 0.677 0.177 0.000
Ce: 0.823 0.677 0.000
Mg: 0.000 0.000 0.000
Mg: 0.500 0.500 0.000
B: 0.123 0.623 0.000
B: 0.377 0.123 0.000
B: 0.623 0.877 0.000
B: 0.877 0.377 0.000
Ru: 0.000 0.500 0.500
Ru: 0.072 0.777 0.500
Ru: 0.223 0.072 0.500
Ru: 0.277 0.572 0.500
Ru: 0.428 0.277 0.500
Ru: 0.500 0.000 0.500
Ru: 0.572 0.723 0.500
Ru: 0.723 0.428 0.500
Ru: 0.777 0.928 0.500
Ru: 0.928 0.223 0.500

Values from the calculation:
- Total DFT energy (no corrections): -7.7327 eV/atom
- Energy of formation from the pure elements: -0.41 eV per atom
- DOS(E_F): 6.6 states/eV/f.u.


What is the DOS(E_F) in the sixth record? 4.9 states/eV/f.u.